## Zr5U3N8 (PBE-GGA)

Data for an optimized crystal structure of Zr5U3N8.

Cell: 6.6504 6.6504 16.3500 Å, 90.00 90.00 120.00°
Space group R-3m (No. 166, hexagonal axes)
Asymmetric unit:
Zr  0.0000  0.0000  0.0000 (multiplicity 3)
Zr  0.0000  0.0000  0.5000 (multiplicity 3)
Zr  0.0000  0.5000  0.0000 (multiplicity 9)
U  0.0000  0.5000  0.5000 (multiplicity 9)
N  0.0000  0.0000  0.2536 (multiplicity 6)
N  0.0027  0.5014  0.2509 (multiplicity 18)

Results
Formation energy without anion corrections (eV/f.u.): -25.39
Electronic total energy (eV per cell): -505.78
Density of states at the Fermi level (states/eV per cell): 43.93
Total magnetic moment (μB per cell): 8.67

## Ce8TcPb2 (PBE-GGA)

Data for an optimized crystal structure of Ce8TcPb2.

Cell: 5.689 7.067 14.567 Å, 90.00 90.00 90.00°
Space group Immm (No. 71)
Asymmetric unit:
Ce  0.000  0.000  0.137 (multiplicity 4)
Ce  0.000  0.211  0.379 (multiplicity 8)
Ce  0.000  0.264  0.000 (multiplicity 4)
Tc  0.000  0.500  0.500 (multiplicity 2)
Pb  0.000  0.500  0.201 (multiplicity 4)

Results
Electronic total energy (eV per cell): -135.14
Density of states at the Fermi level (states/eV per cell): 53.70
Energy of formation (eV per formula unit): -2.32
Total magnetic moment (μB per cell): 9.03

## ZrTl2Cl (PBE-GGA)

Data for an optimized crystal structure of ZrTl2Cl.

Cell: 5.500 5.500 3.293 Å, 90.00 90.00 90.00°
Space group P4/mmm (No. 123)
Asymmetric unit:
Zr  0.000  0.000  0.000 (multiplicity 1)
Tl  0.000  0.500  0.500 (multiplicity 2)
Cl  0.500  0.500  0.000 (multiplicity 1)

Results
Formation energy without anion corrections (eV/f.u.): -0.68
Electronic total energy (eV per cell): -15.80
Density of states at the Fermi level (states/eV per cell): 2.64
Offset from the most stable computed form (eV/atom): 0.374
Total magnetic moment (μB per cell): 0.47

## LiSiTe4Au2 (PBE-GGA)

Data for an optimized crystal structure of LiSiTe4Au2.

Cell: 6.181 6.181 12.644 Å, 90.00 90.00 90.00°
Space group I-4 (No. 82)
Asymmetric unit:
Li  0.000  0.000  0.000 (multiplicity 2)
Si  0.000  0.500  0.250 (multiplicity 2)
Te  0.237  0.738  0.130 (multiplicity 8)
Au  0.000  0.000  0.500 (multiplicity 2)
Au  0.000  0.500  0.750 (multiplicity 2)

Results
Formation energy without anion corrections (eV/f.u.): -1.61
Electronic total energy (eV per cell): -56.13
Density of states at the Fermi level (states/eV per cell): 12.22
Total magnetic moment (μB per cell): 0.00

## Li3In2Pd (PBE-GGA)

Data for an optimized crystal structure of Li3In2Pd.

Cell: 5.951 5.956 12.331 Å, 90.00 103.95 90.00°
Space group C2/c (No. 15)
Asymmetric unit:
Li  0.000  0.126  0.250 (multiplicity 4)
Li  0.170  0.125  0.591 (multiplicity 8)
In  0.174  0.375  0.096 (multiplicity 8)
Pd  0.000  0.376  0.750 (multiplicity 4)

Results
Electronic total energy (eV per cell): -74.83
Density of states at the Fermi level (states/eV per cell): 6.42
Offset from the most stable computed form (eV/atom): 0.000
Energy of formation (eV per formula unit): -2.30
Total magnetic moment (μB per cell): 0.00

## K2PrSb2O6 (PBE-GGA)

Data for an optimized crystal structure of K2PrSb2O6.

Cell: 10.166 6.428 7.497 Å, 90.00 116.09 90.00°
Space group C2/m (No. 12)
Asymmetric unit:
K  0.200  0.000  0.145 (multiplicity 4)
Pr  0.000  0.000  0.500 (multiplicity 2)
Sb  0.067  0.500  0.233 (multiplicity 4)
O  0.047  0.261  0.755 (multiplicity 8)
O  0.247  0.000  0.533 (multiplicity 4)

Results
Formation energy without anion corrections (eV/f.u.): -19.91
Electronic total energy (eV per cell): -129.77
Density of states at the Fermi level (states/eV per cell): 3.38
Total magnetic moment (μB per cell): 2.01

## BeRu2Pb (PBE-GGA)

Data for an optimized crystal structure of BeRu2Pb.

Cell: 2.997 3.752 5.545 Å, 90.00 102.46 90.00°
Space group P2/m (No. 10)
Asymmetric unit:
Be  0.000  0.000  0.000 (multiplicity 1)
Ru  0.354  0.500  0.205 (multiplicity 2)
Pb  0.000  0.000  0.500 (multiplicity 1)

Results
Electronic total energy (eV per cell): -24.78
Density of states at the Fermi level (states/eV per cell): 2.65
Offset from the most stable computed form (eV/atom): 0.011
Energy of formation (eV per formula unit): 1.21
Total magnetic moment (μB per cell): 0.00

## LaHf2Tl2 (PBE-GGA)

Data for an optimized crystal structure of LaHf2Tl2.

Cell: 8.896 8.896 3.200 Å, 90.00 90.00 90.00°
Space group P4/mbm (No. 127)
Asymmetric unit:
La  0.000  0.000  0.000 (multiplicity 2)
Hf  0.122  0.378  0.000 (multiplicity 4)
Tl  0.173  0.673  0.500 (multiplicity 4)

Results
Electronic total energy (eV per cell): -58.41
Density of states at the Fermi level (states/eV per cell): 10.68
Offset from the most stable computed form (eV/atom): 0.000
Energy of formation (eV per formula unit): 0.36
Total magnetic moment (μB per cell): 0.49